VASP calculation (PBE) on a geometry-optimized LiB2AsO6 structure.

Summary:
Formation energy (no corrections): -1923 meV per atom

a b c (Å): 5.6231 5.6231 5.6231
angles (deg): 48.40 48.40 48.40
Last column: nearest neighbours and their distance in Å.
Sites, in units of the cell vectors:
Li 0.0000 0.0000 0.0000  6 O 2.22
B 0.2365 0.2365 0.2365  3 O 1.39
B 0.7635 0.7635 0.7635  3 O 1.39
As 0.5000 0.5000 0.5000  6 O 1.86
O 0.0759 0.4778 0.7261  1 B 1.39
O 0.2739 0.9241 0.5222  1 B 1.39
O 0.4778 0.7262 0.0759  1 B 1.39
O 0.5222 0.2739 0.9241  1 B 1.39
O 0.7262 0.0759 0.4778  1 B 1.39
O 0.9241 0.5222 0.2739  1 B 1.39